MgCoNO | the Open Quantum Materials Database | PBE+U | relaxed; theoretical density = 4.2 g/cm3; ΔE to the lowest computed polymorph = 124 meV per atom; total DFT energy (no corrections) = -5.69 eV/atom
1.0
-5.6400 -0.0742 1.2626
-0.1145 -7.0075 -0.9235
0.9552 -0.5735 4.2332
Co Mg N O
4 4 4 4
direct
0.5683 0.1338 0.0496
0.0683 0.8662 0.0496
0.9317 0.1338 0.5496
0.4317 0.8662 0.5496
0.0742 0.3683 0.0501
0.5742 0.6317 0.0501
0.4258 0.3683 0.5501
0.9258 0.6317 0.5501
0.4355 0.3602 0.0505
0.9355 0.6398 0.0505
0.0645 0.3602 0.5505
0.5645 0.6398 0.5505
0.9098 0.1118 0.0522
0.4098 0.8882 0.0522
0.5902 0.1118 0.5522
0.0901 0.8882 0.5522

MgCoNO | the Open Quantum Materials Database | PBE+U | relaxed; theoretical density = 4.0 g/cm3; ΔE to the lowest computed polymorph = 66 meV per atom; total DFT energy (no corrections) = -5.75 eV/atom
1.0
-1.5937 -2.7604 0.0000
0.0000 0.0000 5.1344
-4.9318 2.8474 0.0000
Co Mg N O
2 2 2 2
direct
0.5000 0.9895 0.1710
0.5000 0.4895 0.8290
0.0000 0.4896 0.3264
0.0000 0.9896 0.6736
0.0000 0.8990 0.3195
0.0000 0.3990 0.6805
0.5000 0.3759 0.1571
0.5000 0.8759 0.8429

MgCoNO | the Open Quantum Materials Database | PBE+U | relaxed; theoretical density = 5.0 g/cm3; ΔE to the lowest computed polymorph = 85 meV per atom; total DFT energy (no corrections) = -5.73 eV/atom
1.0
3.1265 -3.0309 0.0000
3.1265 3.0309 0.0000
0.0000 0.0000 3.9444
Co Mg N O
2 2 2 2
direct
0.2500 0.2500 0.0003
0.7500 0.7500 0.9997
0.7500 0.2500 0.5000
0.2500 0.7500 0.5000
0.2500 0.2500 0.4996
0.7500 0.7500 0.5004
0.7500 0.2500 0.0000
0.2500 0.7500 0.0000

MgCoNO | the Open Quantum Materials Database | PBE+U | relaxed; theoretical density = 5.2 g/cm3; ΔE to the lowest computed polymorph = 0 meV per atom; total DFT energy (no corrections) = -5.82 eV/atom
1.0
-2.2247 -1.7979 2.8046
0.0724 -3.3978 -2.1208
3.7357 -1.2641 2.1529
Co Mg N O
2 2 2 2
direct
0.7500 0.2500 0.5000
0.2500 0.7500 0.5000
0.2500 0.2500 0.0008
0.7500 0.7500 0.9992
0.7500 0.7500 0.4996
0.2500 0.2500 0.5004
0.7500 0.2500 0.0000
0.2500 0.7500 0.0000

MgCoNO | the Open Quantum Materials Database | PBE+U | relaxed; theoretical density = 5.0 g/cm3; ΔE to the lowest computed polymorph = 98 meV per atom; total DFT energy (no corrections) = -5.72 eV/atom
1.0
3.0972 -3.0972 0.0000
3.0972 3.0972 0.0000
0.0000 0.0000 3.9166
Co Mg N O
2 2 2 2
direct
0.0000 0.0000 0.0000
0.5000 0.5000 0.0000
0.5000 0.0000 0.5000
0.0000 0.5000 0.5000
0.5000 0.5000 0.5000
0.0000 0.0000 0.5000
0.5000 0.0000 0.0000
0.0000 0.5000 0.0000